--- w ---
This record from OQMD via LeMat-Bulk describes an optimized crystal structure of HoBeNO. The functional is GGA-PBE.

Output
Its calculated volume is 10.8 Å³/atom. Its size of the total moment is 0.000 μB per formula unit. The density comes out at 7.8 g cm⁻³.

Cell: 3.4707 3.4707 7.1932 Å, 90.00 90.00 90.00°
Last column: nearest neighbours and their distance in Å.
Space group P4/nmm (No. 129, origin choice 2)
One atom of each set of equivalent atoms:
Ho 0.2500 0.2500 0.1733  4 O 2.14
Be 0.2500 0.7500 0.5000  4 N 1.86
N 0.2500 0.2500 0.5949  4 Be 1.86
O 0.2500 0.7500 0.0000  4 Ho 2.14

---

--- x ---
This record from OQMD via LeMat-Bulk describes an optimized crystal structure of HoBeNO. The functional is GGA-PBE.

Output
Its calculated volume is 11.8 Å³/atom. Its size of the total moment is 0.000 μB per formula unit. The density comes out at 7.2 g cm⁻³.

Cell: 4.5660 4.5660 4.5152 Å, 90.00 90.00 90.00°
Last column: nearest neighbours and their distance in Å.
Space group P4/nmm (No. 129, origin choice 2)
One atom of each set of equivalent atoms:
Ho 0.2500 0.7500 0.0000  2 O 2.26, 4 N 2.31
Be 0.2500 0.2500 0.4232  1 N 1.58
N 0.2500 0.2500 0.0734  1 Be 1.58
O 0.2500 0.7500 0.5000  2 Ho 2.26, 4 Be 2.31

---

Verdict on stability: x comes out at the bottom.

---

--- w ---
This record from OQMD via LeMat-Bulk describes an optimized crystal structure of HoBeNO. The functional is GGA-PBE.

Output
Its calculated volume is 10.4 Å³/atom. Its size of the total moment is 0.000 μB per formula unit. The density comes out at 8.2 g cm⁻³.

Cell: 5.3937 6.3053 4.8809 Å, 90.00 90.00 90.00°
Last column: nearest neighbours and their distance in Å.
Space group Pca2_1 (No. 29)
One atom of each set of equivalent atoms:
Ho 0.0538 0.2172 0.0000  2 N 2.22-2.48, 3 O 2.29-2.45, 1 Be 2.44
Be 0.0811 0.6030 0.0163  3 N 1.69-1.75, 1 O 1.72
N 0.1560 0.5211 0.6970  3 Be 1.69-1.75
O 0.0261 0.1401 0.5084  1 Be 1.72

---

--- x ---
This record from OQMD via LeMat-Bulk describes an optimized crystal structure of HoBeNO. The functional is GGA-PBE.

Output
Its calculated volume is 11.5 Å³/atom. Its size of the total moment is 0.000 μB per formula unit. The density comes out at 7.4 g cm⁻³.

Cell: 3.4601 5.4746 4.8483 Å, 90.00 90.00 90.00°
Last column: nearest neighbours and their distance in Å.
Space group Pmc2_1 (No. 26)
One atom of each set of equivalent atoms:
Ho 0.0000 0.2173 0.0000  2 O 2.16, 2 N 2.24-2.33
Be 0.5000 0.3273 0.5257  2 O 1.64-1.66
N 0.0000 0.1914 0.4802  2 Be 1.90
O 0.5000 0.4125 0.8510  2 Be 1.64-1.66

---

--- y ---
This record from OQMD via LeMat-Bulk describes an optimized crystal structure of HoBeNO. The functional is GGA-PBE.

Output
Its calculated volume is 10.9 Å³/atom. Its size of the total moment is 0.000 μB per formula unit. The density comes out at 7.8 g cm⁻³.

Cell: 3.1898 5.1417 5.3081 Å, 90.00 90.00 90.00°
Last column: nearest neighbours and their distance in Å.
Space group Pmc2_1 (No. 26)
One atom of each set of equivalent atoms:
Ho 0.0000 0.2147 0.0000  2 O 2.22-2.39, 4 N 2.31-2.40
Be 0.5000 0.2025 0.5301  2 N 1.67-1.72, 2 O 1.80
N 0.5000 0.0329 0.2608  2 Be 1.67-1.72
O 0.0000 0.3604 0.5717  2 Be 1.80

---

Verdict on stability: x comes out at the bottom.

---

--- w ---
This record from OQMD via LeMat-Bulk describes an optimized crystal structure of NaHoBe. The functional is GGA-PBE.

Output
Its calculated volume is 26.0 Å³/atom. Its size of the total moment is 0.016 μB per formula unit. The density comes out at 4.2 g cm⁻³.

Cell: 6.7814 6.7814 6.7814 Å, 90.00 90.00 90.00°
Last column: nearest neighbours and their distance in Å.
Space group F-43m (No. 216)
One atom of each set of equivalent atoms:
Na 0.0000 0.0000 0.0000  4 Ho 2.94
Ho 0.2500 0.2500 0.7500  4 Na 2.94, 4 Be 2.94
Be 0.0000 0.0000 0.5000  4 Ho 2.94

---

--- x ---
This record from OQMD via LeMat-Bulk describes an optimized crystal structure of NaHoBe. The functional is GGA-PBE.

Output
Its calculated volume is 24.6 Å³/atom. Its size of the total moment is 0.476 μB per formula unit. The density comes out at 4.4 g cm⁻³.

Cell: 6.6551 6.6551 6.6551 Å, 90.00 90.00 90.00°
Last column: nearest neighbours and their distance in Å.
Space group F-43m (No. 216)
One atom of each set of equivalent atoms:
Na 0.0000 0.0000 0.0000  4 Be 2.88
Ho 0.0000 0.0000 0.5000  4 Be 2.88
Be 0.2500 0.2500 0.7500  4 Na 2.88, 4 Ho 2.88

---

Verdict on stability: w comes out at the bottom.

---

--- w ---
This record from OQMD via LeMat-Bulk describes an optimized crystal structure of HoBeNb. The functional is GGA-PBE.

Output
Its calculated volume is 23.0 Å³/atom. Its size of the total moment is 2.355 μB per formula unit. The density comes out at 6.4 g cm⁻³.

Cell: 6.5096 6.5096 6.5096 Å, 90.00 90.00 90.00°
Last column: nearest neighbours and their distance in Å.
Space group F-43m (No. 216)
One atom of each set of equivalent atoms:
Ho 0.0000 0.0000 0.0000  4 Nb 2.82, 4 Be 2.82
Be 0.2500 0.2500 0.7500  4 Ho 2.82
Nb 0.2500 0.2500 0.2500  4 Ho 2.82

---

--- x ---
This record from OQMD via LeMat-Bulk describes an optimized crystal structure of HoBeNb. The functional is GGA-PBE.

Output
Its calculated volume is 19.9 Å³/atom. Its size of the total moment is 0.043 μB per formula unit. The density comes out at 7.4 g cm⁻³.

Cell: 6.2012 6.2012 6.2012 Å, 90.00 90.00 90.00°
Last column: nearest neighbours and their distance in Å.
Space group F-43m (No. 216)
One atom of each set of equivalent atoms:
Ho 0.0000 0.0000 0.0000  4 Be 2.69
Be 0.2500 0.2500 0.2500  4 Ho 2.69, 4 Nb 2.69
Nb 0.0000 0.0000 0.5000  4 Be 2.69

---

Verdict on stability: w comes out at the bottom.

---

--- w ---
This record from OQMD via LeMat-Bulk describes an optimized crystal structure of Ho2Be2O5. The functional is GGA-PBE.

Output
Its calculated volume is 9.4 Å³/atom. Its size of the total moment is 0.000 μB per formula unit. The density comes out at 8.4 g cm⁻³.

Cell: 3.5596 3.5596 6.6898 Å, 90.00 90.00 90.00°
Last column: nearest neighbours and their distance in Å.
Space group P4/mmm (No. 123)
One atom of each set of equivalent atoms:
Ho 0.0000 0.0000 0.0000  12 O 2.52-2.58
Ho 0.0000 0.0000 0.5000  8 O 2.31
Be 0.5000 0.5000 0.2347  1 O 1.57
O 0.0000 0.5000 0.2800  2 Be 1.81
O 0.5000 0.5000 0.0000  2 Be 1.57

---

--- x ---
This record from OQMD via LeMat-Bulk describes an optimized crystal structure of Ho2Be2O5. The functional is GGA-PBE.

Output
Its calculated volume is 13.5 Å³/atom. Its size of the total moment is 0.929 μB per formula unit. The density comes out at 5.8 g cm⁻³.

Cell: 3.7720 3.7720 8.5542 Å, 90.00 90.00 90.00°
Last column: nearest neighbours and their distance in Å.
Space group P4/mmm (No. 123)
One atom of each set of equivalent atoms:
Ho 0.0000 0.0000 0.2405  5 O 2.11-2.22
Be 0.5000 0.5000 0.0000  8 O 2.19
Be 0.5000 0.5000 0.5000  4 O 2.67
O 0.0000 0.0000 0.5000  2 Ho 2.22
O 0.0000 0.5000 0.1304  2 Ho 2.11, 2 Be 2.19, 1 O 2.23

---

Verdict on stability: x comes out at the bottom.

---

--- w ---
This record from OQMD via LeMat-Bulk describes an optimized crystal structure of HoBePO. The functional is GGA-PBE.

Output
Its calculated volume is 14.3 Å³/atom. Its size of the total moment is 0.004 μB per formula unit. The density comes out at 6.4 g cm⁻³.

Cell: 3.0982 5.6227 6.5443 Å, 90.00 90.00 90.00°
Last column: nearest neighbours and their distance in Å.
Space group Pmc2_1 (No. 26)
One atom of each set of equivalent atoms:
Ho 0.0000 0.2202 0.0000  2 O 2.23-2.26
Be 0.5000 0.2632 0.3784  2 O 1.75
P 0.5000 0.4064 0.6831  2 Be 2.15-2.26
O 0.0000 0.1274 0.3367  2 Be 1.75

---

--- x ---
This record from OQMD via LeMat-Bulk describes an optimized crystal structure of HoBePO. The functional is GGA-PBE.

Output
Its calculated volume is 14.5 Å³/atom. Its size of the total moment is 0.000 μB per formula unit. The density comes out at 6.3 g cm⁻³.

Cell: 3.7315 3.7315 8.3160 Å, 90.00 90.00 90.00°
Last column: nearest neighbours and their distance in Å.
Space group P4/nmm (No. 129, origin choice 2)
One atom of each set of equivalent atoms:
Ho 0.2500 0.2500 0.1393  4 O 2.20
Be 0.2500 0.7500 0.5000  4 P 2.25
P 0.2500 0.2500 0.6503  4 Be 2.25
O 0.2500 0.7500 0.0000  4 Ho 2.20

---

Verdict on stability: w comes out at the bottom.

---

--- w ---
This record from OQMD via LeMat-Bulk describes an optimized crystal structure of HoBePd. The functional is GGA-PBE.

Output
Its calculated volume is 20.4 Å³/atom. Its size of the total moment is 0.004 μB per formula unit. The density comes out at 7.6 g cm⁻³.

Cell: 6.2596 6.2596 6.2596 Å, 90.00 90.00 90.00°
Last column: nearest neighbours and their distance in Å.
Space group F-43m (No. 216)
One atom of each set of equivalent atoms:
Ho 0.0000 0.0000 0.0000  4 Pd 2.71
Be 0.0000 0.0000 0.5000  4 Pd 2.71
Pd 0.2500 0.2500 0.7500  4 Ho 2.71, 4 Be 2.71

---

--- x ---
This record from OQMD via LeMat-Bulk describes an optimized crystal structure of HoBePd. The functional is GGA-PBE.

Output
Its calculated volume is 18.6 Å³/atom. Its size of the total moment is 0.001 μB per formula unit. The density comes out at 8.4 g cm⁻³.

Cell: 6.0634 6.0634 6.0634 Å, 90.00 90.00 90.00°
Last column: nearest neighbours and their distance in Å.
Space group F-43m (No. 216)
One atom of each set of equivalent atoms:
Ho 0.0000 0.0000 0.0000  4 Be 2.63
Be 0.2500 0.2500 0.2500  4 Ho 2.63, 4 Pd 2.63
Pd 0.0000 0.0000 0.5000  4 Be 2.63

---

Verdict on stability: x comes out at the bottom.

---

--- w ---
This record from OQMD via LeMat-Bulk describes an optimized crystal structure of HoBeRe. The functional is GGA-PBE.

Output
Its calculated volume is 17.6 Å³/atom. Its size of the total moment is 0.007 μB per formula unit. The density comes out at 11.3 g cm⁻³.

Cell: 5.9574 5.9574 5.9574 Å, 90.00 90.00 90.00°
Last column: nearest neighbours and their distance in Å.
Space group F-43m (No. 216)
One atom of each set of equivalent atoms:
Ho 0.0000 0.0000 0.0000  4 Be 2.58
Be 0.2500 0.2500 0.2500  4 Ho 2.58, 4 Re 2.58
Re 0.0000 0.0000 0.5000  4 Be 2.58

---

--- x ---
This record from OQMD via LeMat-Bulk describes an optimized crystal structure of HoBeRe. The functional is GGA-PBE.

Output
Its calculated volume is 21.2 Å³/atom. Its size of the total moment is 1.860 μB per formula unit. The density comes out at 9.4 g cm⁻³.

Cell: 6.3359 6.3359 6.3359 Å, 90.00 90.00 90.00°
Last column: nearest neighbours and their distance in Å.
Space group F-43m (No. 216)
One atom of each set of equivalent atoms:
Ho 0.0000 0.0000 0.0000  4 Re 2.74, 4 Be 2.74
Be 0.2500 0.2500 0.7500  4 Ho 2.74
Re 0.2500 0.2500 0.2500  4 Ho 2.74

---

Verdict on stability: x comes out at the bottom.